[1]
## AlCr2ReB (PBE-GGA)

Data for a relaxed AlCr2ReB crystal.

Lattice parameters (Å, degrees): 3.9294 4.0968 3.9294 90.00 90.00 90.00
Closest atoms and distances in Å follow each position.
Fractional positions:
Cr 0.5000 0.0000 0.0000  2 B 1.96
Cr 0.0000 0.0000 0.5000  2 B 1.96
Al 0.5000 0.5000 0.5000  4 Re 2.78, 8 Cr 2.84
Re 0.0000 0.5000 0.0000  2 B 2.05
B 0.0000 0.0000 0.0000  4 Cr 1.96, 2 Re 2.05

Summary:
D(E_F)   0.902 states/eV per atom
Final energy   -0.610 Ry per atom
Formation energy from the elements   0.13 eV/atom
Total magnetic moment   0.00 μB/cell
SG   No. 123
Crystal system   tetragonal

=====

[2]
## AlCr2B2Ru5 (PBE-GGA)

Data for a relaxed AlCr2B2Ru5 crystal.

Lattice parameters (Å, degrees): 2.9205 9.1608 9.1608 90.00 90.00 90.00
Closest atoms and distances in Å follow each position.
Fractional positions:
B 0.0000 0.1265 0.6265  6 Ru 2.14-2.19
B 0.0000 0.8735 0.3735  6 Ru 2.14-2.19
B 0.0000 0.6265 0.8735  6 Ru 2.14-2.19
B 0.0000 0.3735 0.1265  6 Ru 2.14-2.19
Cr 0.0000 0.8221 0.6779  3 B 2.53-2.83, 6 Ru 2.73-2.75
Cr 0.0000 0.6779 0.1779  3 B 2.53-2.83, 6 Ru 2.73-2.75
Cr 0.0000 0.3221 0.8221  3 B 2.53-2.83, 6 Ru 2.73-2.75
Cr 0.0000 0.1779 0.3221  3 B 2.53-2.83, 6 Ru 2.73-2.75
Ru 0.5000 0.7871 0.9297  2 B 2.14
Ru 0.5000 0.9297 0.2129  2 B 2.14
Ru 0.5000 0.2129 0.0703  2 B 2.14
Ru 0.5000 0.7129 0.4297  2 B 2.14
Ru 0.5000 0.4297 0.2871  2 B 2.14
Ru 0.5000 0.5000 0.0000  4 B 2.19
Ru 0.5000 0.0000 0.5000  4 B 2.19
Ru 0.5000 0.5703 0.7129  2 B 2.14
Ru 0.5000 0.0703 0.7871  2 B 2.14
Ru 0.5000 0.2871 0.5703  2 B 2.14
Al 0.0000 0.0000 0.0000  8 Ru 2.52
Al 0.0000 0.5000 0.5000  8 Ru 2.52

Summary:
D(E_F)   0.682 states/eV per atom
Final energy   -0.626 Ry per atom
Formation energy from the elements   -0.24 eV/atom
Total magnetic moment   4.99 μB/cell
SG   No. 127
Crystal system   tetragonal

=====

[3]
## ZrAlCrB2 (PBE-GGA)

Data for a relaxed ZrAlCrB2 crystal.

Lattice parameters (Å, degrees): 3.9579 4.3038 3.9579 90.00 90.00 90.00
Closest atoms and distances in Å follow each position.
Fractional positions:
Cr 0.0000 0.0000 0.0000  4 B 1.98, 2 Al 2.15
Al 0.0000 0.5000 0.0000  2 Cr 2.15
Zr 0.5000 0.5000 0.5000  4 Al 2.80, 8 B 2.92
B 0.0000 0.0000 0.5000  2 Cr 1.98
B 0.5000 0.0000 0.0000  2 Cr 1.98

Summary:
D(E_F)   0.490 states/eV per atom
Final energy   -0.487 Ry per atom
Formation energy from the elements   0.43 eV/atom
Total magnetic moment   0.00 μB/cell
SG   No. 123
Crystal system   tetragonal

=====

[4]
## CsAl2B2 (PBE-GGA)

Data for a relaxed CsAl2B2 crystal.

Lattice parameters (Å, degrees): 8.6098 8.6098 3.3616 90.00 90.00 90.00
Closest atoms and distances in Å follow each position.
Fractional positions:
Al 0.1079 0.3921 0.0000  4 B 2.29
Al 0.3921 0.8921 0.0000  4 B 2.29
Al 0.6079 0.1079 0.0000  4 B 2.29
Al 0.8921 0.6079 0.0000  4 B 2.29
B 0.9328 0.4328 0.5000  1 B 1.64
B 0.4328 0.0672 0.5000  1 B 1.64
B 0.5672 0.9328 0.5000  1 B 1.64
B 0.0672 0.5672 0.5000  1 B 1.64
Cs 0.0000 0.0000 0.0000  2 Cs 3.36, 4 Al 3.50
Cs 0.5000 0.5000 0.0000  2 Cs 3.36, 4 Al 3.50

Summary:
Excess energy over the best structure of this formula in the dataset   291 meV/atom
D(E_F)   0.786 states/eV per atom
Final energy   -0.247 Ry per atom
Formation energy from the elements   0.98 eV/atom
Total magnetic moment   0.00 μB/cell
SG   No. 127
Crystal system   tetragonal

=====

[5]
## CsAl3B (PBE-GGA)

Data for a relaxed CsAl3B crystal.

Lattice parameters (Å, degrees): 6.1003 6.1003 6.1003 90.00 90.00 90.00
Closest atoms and distances in Å follow each position.
Fractional positions:
Al 0.0000 0.0000 0.5000  2 Cs 3.05
Al 0.5000 0.0000 0.0000  2 Cs 3.05
Al 0.0000 0.5000 0.0000  2 Cs 3.05
B 0.5000 0.5000 0.5000  12 Al 4.31
Cs 0.0000 0.0000 0.0000  6 Al 3.05

Summary:
Excess energy over the best structure of this formula in the dataset   1756 meV/atom
D(E_F)   1.001 states/eV per atom
Final energy   -0.083 Ry per atom
Formation energy from the elements   2.63 eV/atom
Total magnetic moment   1.49 μB/cell
SG   No. 221
Crystal system   cubic

=====

[6]
## CsAl3B (PBE-GGA)

Data for a relaxed CsAl3B crystal.

Lattice parameters (Å, degrees): 4.8362 4.8362 4.8362 90.00 90.00 90.00
Closest atoms and distances in Å follow each position.
Fractional positions:
Cs 0.5000 0.5000 0.5000  12 Al 3.42
B 0.0000 0.0000 0.0000  6 Al 2.42
Al 0.0000 0.5000 0.0000  2 B 2.42
Al 0.5000 0.0000 0.0000  2 B 2.42
Al 0.0000 0.0000 0.5000  2 B 2.42

Summary:
Excess energy over the best structure of this formula in the dataset   0 meV/atom
D(E_F)   0.768 states/eV per atom
Final energy   -0.212 Ry per atom
Formation energy from the elements   0.87 eV/atom
Total magnetic moment   0.00 μB/cell
SG   No. 221
Crystal system   cubic